Entry 1:
An optimized crystal structure of Li2CrCu2Se4. Source: Alexandria, functional PBE.

volume	18.64	A^3/atom
total DFT energy (no corrections)	-40.8	eV/f.u.
formation energy from raw total energies	-0.579	eV per atom

```
data_Li2CrCu2Se4
_chemical_formula_sum 'Li2 Cr1 Cu2 Se4'
_cell_length_a 3.738
_cell_length_b 7.220
_cell_length_c 7.406
_cell_angle_alpha 118.80
_cell_angle_beta 104.62
_cell_angle_gamma 90.00
_space_group_name_H-M_alt 'P 1'
_space_group_IT_number 1
_space_group_name_Hall 'P 1'
loop_
_atom_site_label
_atom_site_fract_x
_atom_site_fract_y
_atom_site_fract_z
_atom_site_occupancy
Li1 0.147 0.518 0.293 1
Li2 0.853 0.482 0.707 1
Cr1 0.000 0.000 0.000 1
Cu1 0.682 0.972 0.364 1
Cu2 0.318 0.028 0.636 1
Se1 0.212 0.215 0.424 1
Se2 0.788 0.785 0.576 1
Se3 0.491 0.746 0.982 1
Se4 0.509 0.254 0.018 1
```

---

Entry 2:
An optimized crystal structure of LiTiCr2Cu. Source: Alexandria, functional PBE.

volume	13.33	A^3/atom
total DFT energy (no corrections)	-26.6	eV/f.u.
ΔE_f	6.56	eV per formula unit

```
data_LiTiCr2Cu
_chemical_formula_sum 'Li1 Ti1 Cr2 Cu1'
_cell_length_a 3.955
_cell_length_b 4.261
_cell_length_c 3.955
_cell_angle_alpha 90.00
_cell_angle_beta 90.00
_cell_angle_gamma 90.00
_space_group_name_H-M_alt 'P 1'
_space_group_IT_number 1
_space_group_name_Hall 'P 1'
loop_
_atom_site_label
_atom_site_fract_x
_atom_site_fract_y
_atom_site_fract_z
_atom_site_occupancy
Cr1 0.000 0.000 0.500 1
Cr2 0.500 0.000 0.000 1
Li1 0.000 0.000 0.000 1
Cu1 0.500 0.500 0.500 1
Ti1 0.000 0.500 0.000 1
```

---

Entry 3:
An optimized crystal structure of LiV2CrCu. Source: Alexandria, functional PBE.

volume	15.04	A^3/atom
total DFT energy (no corrections)	-27.2	eV/f.u.
ΔE_f	6.63	eV per formula unit

```
data_LiV2CrCu
_chemical_formula_sum 'Li1 V2 Cr1 Cu1'
_cell_length_a 4.452
_cell_length_b 3.794
_cell_length_c 4.452
_cell_angle_alpha 90.00
_cell_angle_beta 90.00
_cell_angle_gamma 90.00
_space_group_name_H-M_alt 'P 1'
_space_group_IT_number 1
_space_group_name_Hall 'P 1'
loop_
_atom_site_label
_atom_site_fract_x
_atom_site_fract_y
_atom_site_fract_z
_atom_site_occupancy
Cr1 0.500 0.500 0.500 1
Li1 0.000 0.500 0.000 1
Cu1 0.000 0.000 0.000 1
V1 0.000 0.000 0.500 1
V2 0.500 0.000 0.000 1
```

---

Entry 4:
An optimized crystal structure of LiZnCr2Cu. Source: Alexandria, functional PBE.

volume	16.11	A^3/atom
total DFT energy (no corrections)	-21.3	eV/f.u.
ΔE_f	5.22	eV per formula unit

```
data_LiZnCr2Cu
_chemical_formula_sum 'Li1 Zn1 Cr2 Cu1'
_cell_length_a 4.454
_cell_length_b 4.060
_cell_length_c 4.454
_cell_angle_alpha 90.00
_cell_angle_beta 90.00
_cell_angle_gamma 90.00
_space_group_name_H-M_alt 'P 1'
_space_group_IT_number 1
_space_group_name_Hall 'P 1'
loop_
_atom_site_label
_atom_site_fract_x
_atom_site_fract_y
_atom_site_fract_z
_atom_site_occupancy
Cr1 0.000 0.000 0.500 1
Cr2 0.500 0.000 0.000 1
Zn1 0.500 0.500 0.500 1
Cu1 0.000 0.500 0.000 1
Li1 0.000 0.000 0.000 1
```

---

Entry 5:
An optimized crystal structure of Mg3CrCu. Source: Alexandria, functional PBE.

volume	22.61	A^3/atom
total DFT energy (no corrections)	-16.0	eV/f.u.
polymorph energy (0 for the lowest one)	0	meV per atom
ΔE_f	2.48	eV per formula unit

```
data_Mg3CrCu
_chemical_formula_sum 'Mg3 Cr1 Cu1'
_cell_length_a 4.835
_cell_length_b 4.835
_cell_length_c 4.835
_cell_angle_alpha 90.00
_cell_angle_beta 90.00
_cell_angle_gamma 90.00
_space_group_name_H-M_alt 'P 1'
_space_group_IT_number 1
_space_group_name_Hall 'P 1'
loop_
_atom_site_label
_atom_site_fract_x
_atom_site_fract_y
_atom_site_fract_z
_atom_site_occupancy
Cr1 0.500 0.500 0.500 1
Mg1 0.000 0.500 0.000 1
Mg2 0.000 0.000 0.500 1
Mg3 0.500 0.000 0.000 1
Cu1 0.000 0.000 0.000 1
```

---

Entry 6:
An optimized crystal structure of Mg6CrCu. Source: Alexandria, functional PBE.

volume	19.84	A^3/atom
total DFT energy (no corrections)	-22.1	eV/f.u.
ΔE_f	1.21	eV per formula unit

```
data_Mg6CrCu
_chemical_formula_sum 'Mg6 Cr1 Cu1'
_cell_length_a 6.112
_cell_length_b 6.112
_cell_length_c 4.892
_cell_angle_alpha 90.00
_cell_angle_beta 90.00
_cell_angle_gamma 119.73
_space_group_name_H-M_alt 'P 1'
_space_group_IT_number 1
_space_group_name_Hall 'P 1'
loop_
_atom_site_label
_atom_site_fract_x
_atom_site_fract_y
_atom_site_fract_z
_atom_site_occupancy
Mg1 0.167 0.347 0.000 1
Mg2 0.653 0.833 0.000 1
Mg3 0.664 0.336 0.000 1
Mg4 0.327 0.151 0.500 1
Mg5 0.849 0.673 0.500 1
Mg6 0.835 0.165 0.500 1
Cr1 0.332 0.668 0.500 1
Cu1 0.173 0.827 0.000 1
```

---

Entry 7:
An optimized crystal structure of Mg14CrCu. Source: Alexandria, functional PBE.

volume	21.32	A^3/atom
total DFT energy (no corrections)	-34.9	eV/f.u.
ΔE_f	1.13	eV per formula unit

```
data_Mg14CrCu
_chemical_formula_sum 'Mg14 Cr1 Cu1'
_cell_length_a 6.219
_cell_length_b 6.219
_cell_length_c 10.163
_cell_angle_alpha 90.00
_cell_angle_beta 90.00
_cell_angle_gamma 119.82
_space_group_name_H-M_alt 'P 1'
_space_group_IT_number 1
_space_group_name_Hall 'P 1'
loop_
_atom_site_label
_atom_site_fract_x
_atom_site_fract_y
_atom_site_fract_z
_atom_site_occupancy
Mg1 0.834 0.166 0.000 1
Mg2 0.335 0.665 0.000 1
Mg3 0.338 0.159 0.500 1
Mg4 0.333 0.169 0.000 1
Mg5 0.841 0.662 0.500 1
Mg6 0.831 0.667 0.000 1
Mg7 0.160 0.335 0.268 1
Mg8 0.160 0.335 0.732 1
Mg9 0.665 0.840 0.268 1
Mg10 0.665 0.840 0.732 1
Mg11 0.668 0.332 0.257 1
Mg12 0.668 0.332 0.743 1
Mg13 0.168 0.832 0.252 1
Mg14 0.168 0.832 0.748 1
Cr1 0.332 0.668 0.500 1
Cu1 0.832 0.168 0.500 1
```

---

Entry 8:
An optimized crystal structure of MgCrCu2. Source: Alexandria, functional PBE.

volume	14.67	A^3/atom
total DFT energy (no corrections)	-18.6	eV/f.u.
ΔE_f	0.83	eV per formula unit

```
data_MgCrCu2
_chemical_formula_sum 'Mg1 Cr1 Cu2'
_cell_length_a 5.055
_cell_length_b 5.055
_cell_length_c 4.284
_cell_angle_alpha 66.11
_cell_angle_beta 66.11
_cell_angle_gamma 36.35
_space_group_name_H-M_alt 'P 1'
_space_group_IT_number 1
_space_group_name_Hall 'P 1'
loop_
_atom_site_label
_atom_site_fract_x
_atom_site_fract_y
_atom_site_fract_z
_atom_site_occupancy
Cr1 0.263 0.263 0.234 1
Cu1 0.013 0.013 0.991 1
Cu2 0.736 0.736 0.760 1
Mg1 0.488 0.488 0.515 1
```